Ho2NbGa2Rh5: relaxed, PBE.

a b c (Å): 9.818 9.818 3.556
angles (deg): 90.00 90.00 90.00
Element x y z (fractional)
Ho1 0.172 0.328 0.000
Ho2 0.328 0.828 0.000
Ho3 0.672 0.172 0.000
Ho4 0.828 0.672 0.000
Nb1 0.000 0.000 0.000
Nb2 0.500 0.500 0.000
Ga1 0.126 0.626 0.000
Ga2 0.374 0.126 0.000
Ga3 0.626 0.874 0.000
Ga4 0.874 0.374 0.000
Rh1 0.000 0.500 0.500
Rh2 0.066 0.798 0.500
Rh3 0.202 0.066 0.500
Rh4 0.298 0.566 0.500
Rh5 0.434 0.298 0.500
Rh6 0.500 0.000 0.500
Rh7 0.566 0.702 0.500
Rh8 0.702 0.434 0.500
Rh9 0.798 0.934 0.500
Rh10 0.934 0.202 0.500

Summary:
Its formation energy is -730 kJ/mol of formula units. As for the symmetry: No. 127. The density of states at the Fermi level comes out at 4.40 states/eV/f.u. The calculation puts the total energy at -6.96 eV per atom.